Material: Pr4InNi2Sn4
Method: DFT, PBE-GGA
State: optimized geometry

Output
SG: C2/m (12)
E_tot in eV/f.u.: -56.14

CIF file:
```
data_Pr4InNi2Sn4
_chemical_formula_sum 'Pr4 In1 Ni2 Sn4'
_symmetry_space_group_name_H-M 'P 1'
_symmetry_Int_Tables_number 1
_cell_length_a 8.6414
_cell_length_b 8.6414
_cell_length_c 7.6536
_cell_angle_alpha 108.53
_cell_angle_beta 108.53
_cell_angle_gamma 31.36
loop_
_symmetry_equiv_pos_as_xyz
'x,y,z'
loop_
_atom_site_label
_atom_site_type_symbol
_atom_site_fract_x
_atom_site_fract_y
_atom_site_fract_z
_atom_site_occupancy
Ni1 Ni 0.7818 0.7818 0.3484 1
Ni2 Ni 0.2182 0.2182 0.6516 1
Pr1 Pr 0.4097 0.4097 0.6123 1
Sn1 Sn 0.0689 0.0689 0.6729 1
Sn2 Sn 0.2081 0.2081 0.2906 1
Sn3 Sn 0.9311 0.9311 0.3271 1
Pr2 Pr 0.5903 0.5903 0.3877 1
In1 In 0.0000 0.0000 0.0000 1
Pr3 Pr 0.6567 0.6567 0.9541 1
Pr4 Pr 0.3433 0.3433 0.0459 1
Sn4 Sn 0.7919 0.7919 0.7094 1
```

Material: TbPrIn2Ni4
Method: DFT, PBE-GGA
State: optimized geometry

Output
SG: Pmm2 (25)
E_tot in eV/f.u.: -40.59

CIF file:
```
data_TbPrIn2Ni4
_chemical_formula_sum 'Tb1 Pr1 In2 Ni4'
_symmetry_space_group_name_H-M 'P 1'
_symmetry_Int_Tables_number 1
_cell_length_a 4.0553
_cell_length_b 5.1833
_cell_length_c 7.1177
_cell_angle_alpha 90.00
_cell_angle_beta 90.00
_cell_angle_gamma 90.00
loop_
_symmetry_equiv_pos_as_xyz
'x,y,z'
loop_
_atom_site_label
_atom_site_type_symbol
_atom_site_fract_x
_atom_site_fract_y
_atom_site_fract_z
_atom_site_occupancy
Ni1 Ni 0.0000 0.5000 0.1108 1
Ni2 Ni 0.5000 0.2463 0.0036 1
Ni3 Ni 0.5000 0.7537 0.0036 1
In1 In 0.5000 0.5000 0.3443 1
In2 In 0.5000 0.0000 0.6504 1
Ni4 Ni 0.0000 0.0000 0.8941 1
Tb1 Tb 0.0000 0.0000 0.2689 1
Pr1 Pr 0.0000 0.5000 0.7244 1
```

Material: Tb2PrIn3Ni3
Method: DFT, PBE-GGA
State: optimized geometry

Output
SG: Amm2 (38)
E_tot in eV/f.u.: -43.33

CIF file:
```
data_Tb2PrIn3Ni3
_chemical_formula_sum 'Tb2 Pr1 In3 Ni3'
_symmetry_space_group_name_H-M 'P 1'
_symmetry_Int_Tables_number 1
_cell_length_a 3.8602
_cell_length_b 7.5077
_cell_length_c 7.5077
_cell_angle_alpha 119.89
_cell_angle_beta 90.00
_cell_angle_gamma 90.00
loop_
_symmetry_equiv_pos_as_xyz
'x,y,z'
loop_
_atom_site_label
_atom_site_type_symbol
_atom_site_fract_x
_atom_site_fract_y
_atom_site_fract_z
_atom_site_occupancy
In1 In 0.0000 0.0059 0.7490 1
Ni1 Ni 0.5000 0.0013 0.0013 1
Tb1 Tb 0.5000 0.0004 0.4111 1
In2 In 0.0000 0.7490 0.0059 1
Pr1 Pr 0.5000 0.5869 0.5869 1
Tb2 Tb 0.5000 0.4111 0.0004 1
In3 In 0.0000 0.2469 0.2469 1
Ni2 Ni 0.0000 0.3299 0.6684 1
Ni3 Ni 0.0000 0.6684 0.3299 1
```

Material: TbPrIn2Ni4
Method: DFT, PBE-GGA
State: optimized geometry

Output
SG: P-6m2 (187)
E_tot in eV/f.u.: -40.13

CIF file:
```
data_TbPrIn2Ni4
_chemical_formula_sum 'Tb1 Pr1 In2 Ni4'
_symmetry_space_group_name_H-M 'P 1'
_symmetry_Int_Tables_number 1
_cell_length_a 4.4289
_cell_length_b 4.4289
_cell_length_c 8.7617
_cell_angle_alpha 90.00
_cell_angle_beta 90.00
_cell_angle_gamma 120.00
loop_
_symmetry_equiv_pos_as_xyz
'x,y,z'
loop_
_atom_site_label
_atom_site_type_symbol
_atom_site_fract_x
_atom_site_fract_y
_atom_site_fract_z
_atom_site_occupancy
Tb1 Tb 0.6667 0.3333 0.5000 1
Ni1 Ni 0.6667 0.3333 0.8174 1
Ni2 Ni 0.6667 0.3333 0.1826 1
Ni3 Ni 0.0000 0.0000 0.3374 1
In1 In 0.3333 0.6667 0.7405 1
Pr1 Pr 0.0000 0.0000 0.0000 1
Ni4 Ni 0.0000 0.0000 0.6626 1
In2 In 0.3333 0.6667 0.2595 1
```

Material: PrInNiTe3
Method: DFT, PBE-GGA
State: optimized geometry

Output
SG: Cmcm (63)
E_tot in eV/f.u.: -26.25

CIF file:
```
data_PrInNiTe3
_chemical_formula_sum 'Pr2 In2 Ni2 Te6'
_symmetry_space_group_name_H-M 'P 1'
_symmetry_Int_Tables_number 1
_cell_length_a 7.8595
_cell_length_b 7.8595
_cell_length_c 11.5504
_cell_angle_alpha 90.00
_cell_angle_beta 90.00
_cell_angle_gamma 30.41
loop_
_symmetry_equiv_pos_as_xyz
'x,y,z'
loop_
_atom_site_label
_atom_site_type_symbol
_atom_site_fract_x
_atom_site_fract_y
_atom_site_fract_z
_atom_site_occupancy
Pr1 Pr 0.0000 0.0000 0.0000 1
Te1 Te 0.3564 0.3564 0.4132 1
In1 In 0.2487 0.2487 0.7500 1
In2 In 0.7513 0.7513 0.2500 1
Ni1 Ni 0.5262 0.5262 0.7500 1
Te2 Te 0.6436 0.6436 0.5868 1
Te3 Te 0.0791 0.0791 0.2500 1
Pr2 Pr 0.0000 0.0000 0.5000 1
Ni2 Ni 0.4738 0.4738 0.2500 1
Te4 Te 0.3564 0.3564 0.0868 1
Te5 Te 0.9209 0.9209 0.7500 1
Te6 Te 0.6436 0.6436 0.9132 1
```

Material: Pr2TlInNi4
Method: DFT, PBE-GGA
State: optimized geometry

Output
SG: P-3m1 (164)
E_tot in eV/f.u.: -39.05

CIF file:
```
data_Pr2TlInNi4
_chemical_formula_sum 'Pr2 Tl1 In1 Ni4'
_symmetry_space_group_name_H-M 'P 1'
_symmetry_Int_Tables_number 1
_cell_length_a 4.4869
_cell_length_b 4.4869
_cell_length_c 8.9259
_cell_angle_alpha 90.00
_cell_angle_beta 90.00
_cell_angle_gamma 120.00
loop_
_symmetry_equiv_pos_as_xyz
'x,y,z'
loop_
_atom_site_label
_atom_site_type_symbol
_atom_site_fract_x
_atom_site_fract_y
_atom_site_fract_z
_atom_site_occupancy
Ni1 Ni 0.6667 0.3333 0.5744 1
In1 In 0.0000 0.0000 0.0000 1
Ni2 Ni 0.6667 0.3333 0.9299 1
Pr1 Pr 0.3333 0.6667 0.7510 1
Tl1 Tl 0.0000 0.0000 0.5000 1
Ni3 Ni 0.3333 0.6667 0.4256 1
Ni4 Ni 0.3333 0.6667 0.0701 1
Pr2 Pr 0.6667 0.3333 0.2490 1
```

Material: PrTmIn2Ni4
Method: DFT, PBE-GGA
State: optimized geometry

Output
SG: Pmm2 (25)
E_tot in eV/f.u.: -40.44

CIF file:
```
data_PrTmIn2Ni4
_chemical_formula_sum 'Pr1 Tm1 In2 Ni4'
_symmetry_space_group_name_H-M 'P 1'
_symmetry_Int_Tables_number 1
_cell_length_a 4.0571
_cell_length_b 5.1570
_cell_length_c 7.0971
_cell_angle_alpha 90.00
_cell_angle_beta 90.00
_cell_angle_gamma 90.00
loop_
_symmetry_equiv_pos_as_xyz
'x,y,z'
loop_
_atom_site_label
_atom_site_type_symbol
_atom_site_fract_x
_atom_site_fract_y
_atom_site_fract_z
_atom_site_occupancy
Ni1 Ni 0.5000 0.2444 0.0051 1
Ni2 Ni 0.0000 0.5000 0.1128 1
Pr1 Pr 0.0000 0.5000 0.7232 1
Ni3 Ni 0.5000 0.7556 0.0051 1
Ni4 Ni 0.0000 0.0000 0.8964 1
In1 In 0.5000 0.0000 0.6475 1
Tm1 Tm 0.0000 0.0000 0.2650 1
In2 In 0.5000 0.5000 0.3448 1
```

Material: PrTm2In3Ni3
Method: DFT, PBE-GGA
State: optimized geometry

Output
SG: Amm2 (38)
E_tot in eV/f.u.: -42.98

CIF file:
```
data_PrTm2In3Ni3
_chemical_formula_sum 'Pr1 Tm2 In3 Ni3'
_symmetry_space_group_name_H-M 'P 1'
_symmetry_Int_Tables_number 1
_cell_length_a 3.7772
_cell_length_b 7.4623
_cell_length_c 7.4623
_cell_angle_alpha 119.80
_cell_angle_beta 90.00
_cell_angle_gamma 90.00
loop_
_symmetry_equiv_pos_as_xyz
'x,y,z'
loop_
_atom_site_label
_atom_site_type_symbol
_atom_site_fract_x
_atom_site_fract_y
_atom_site_fract_z
_atom_site_occupancy
Tm1 Tm 0.0000 0.9996 0.5909 1
In1 In 0.5000 0.9931 0.2541 1
Ni1 Ni 0.0000 0.9976 0.9976 1
Tm2 Tm 0.0000 0.5909 0.9996 1
Ni2 Ni 0.5000 0.6708 0.3312 1
Ni3 Ni 0.5000 0.3312 0.6708 1
In2 In 0.5000 0.7511 0.7511 1
In3 In 0.5000 0.2541 0.9931 1
Pr1 Pr 0.0000 0.4117 0.4117 1
```

Material: PrYIn2Ni4
Method: DFT, PBE-GGA
State: optimized geometry

Output
SG: P-6m2 (187)
E_tot in eV/f.u.: -41.96

CIF file:
```
data_PrYIn2Ni4
_chemical_formula_sum 'Pr1 Y1 In2 Ni4'
_symmetry_space_group_name_H-M 'P 1'
_symmetry_Int_Tables_number 1
_cell_length_a 4.4256
_cell_length_b 4.4256
_cell_length_c 8.8031
_cell_angle_alpha 90.00
_cell_angle_beta 90.00
_cell_angle_gamma 120.00
loop_
_symmetry_equiv_pos_as_xyz
'x,y,z'
loop_
_atom_site_label
_atom_site_type_symbol
_atom_site_fract_x
_atom_site_fract_y
_atom_site_fract_z
_atom_site_occupancy
Ni1 Ni 0.0000 0.0000 0.3361 1
Y1 Y 0.3333 0.6667 0.5000 1
In1 In 0.6667 0.3333 0.2607 1
Pr1 Pr 0.0000 0.0000 0.0000 1
Ni2 Ni 0.0000 0.0000 0.6639 1
Ni3 Ni 0.3333 0.6667 0.1836 1
Ni4 Ni 0.3333 0.6667 0.8164 1
In2 In 0.6667 0.3333 0.7393 1
```

Material: PrYIn2Ni4
Method: DFT, PBE-GGA
State: optimized geometry

Output
SG: Pmm2 (25)
E_tot in eV/f.u.: -42.41

CIF file:
```
data_PrYIn2Ni4
_chemical_formula_sum 'Pr1 Y1 In2 Ni4'
_symmetry_space_group_name_H-M 'P 1'
_symmetry_Int_Tables_number 1
_cell_length_a 4.0579
_cell_length_b 5.1829
_cell_length_c 7.1268
_cell_angle_alpha 90.00
_cell_angle_beta 90.00
_cell_angle_gamma 90.00
loop_
_symmetry_equiv_pos_as_xyz
'x,y,z'
loop_
_atom_site_label
_atom_site_type_symbol
_atom_site_fract_x
_atom_site_fract_y
_atom_site_fract_z
_atom_site_occupancy
Y1 Y 0.0000 0.5000 0.2699 1
Ni1 Ni 0.5000 0.7450 0.0044 1
Ni2 Ni 0.5000 0.2550 0.0044 1
In1 In 0.5000 0.0000 0.3441 1
In2 In 0.5000 0.5000 0.6486 1
Ni3 Ni 0.0000 0.0000 0.1103 1
Ni4 Ni 0.0000 0.5000 0.8935 1
Pr1 Pr 0.0000 0.0000 0.7248 1
```

Material: PrY2In2Ni4
Method: DFT, PBE-GGA
State: optimized geometry

Output
SG: C2/m (12)
E_tot in eV/f.u.: -49.24

CIF file:
```
data_PrY2In2Ni4
_chemical_formula_sum 'Pr1 Y2 In2 Ni4'
_symmetry_space_group_name_H-M 'P 1'
_symmetry_Int_Tables_number 1
_cell_length_a 5.4053
_cell_length_b 5.4053
_cell_length_c 8.5018
_cell_angle_alpha 94.92
_cell_angle_beta 94.92
_cell_angle_gamma 46.92
loop_
_symmetry_equiv_pos_as_xyz
'x,y,z'
loop_
_atom_site_label
_atom_site_type_symbol
_atom_site_fract_x
_atom_site_fract_y
_atom_site_fract_z
_atom_site_occupancy
Ni1 Ni 0.2724 0.2724 0.9181 1
Ni2 Ni 0.0767 0.0767 0.6179 1
Pr1 Pr 0.0000 0.0000 0.0000 1
Y1 Y 0.6289 0.6289 0.3851 1
In1 In 0.3220 0.3220 0.2264 1
In2 In 0.6780 0.6780 0.7736 1
Y2 Y 0.3711 0.3711 0.6149 1
Ni3 Ni 0.7276 0.7276 0.0819 1
Ni4 Ni 0.9233 0.9233 0.3821 1
```

Material: Sm3In3NiPt2
Method: DFT, PBE-GGA
State: optimized geometry

Output
SG: P-62m (189)
E_tot in eV/f.u.: -47.59

CIF file:
```
data_Sm3In3NiPt2
_chemical_formula_sum 'Sm3 In3 Ni1 Pt2'
_symmetry_space_group_name_H-M 'P 1'
_symmetry_Int_Tables_number 1
_cell_length_a 7.6563
_cell_length_b 7.6563
_cell_length_c 3.9452
_cell_angle_alpha 90.00
_cell_angle_beta 90.00
_cell_angle_gamma 120.00
loop_
_symmetry_equiv_pos_as_xyz
'x,y,z'
loop_
_atom_site_label
_atom_site_type_symbol
_atom_site_fract_x
_atom_site_fract_y
_atom_site_fract_z
_atom_site_occupancy
Ni1 Ni 0.0000 0.0000 0.5000 1
Pt1 Pt 0.3333 0.6667 0.0000 1
In1 In 0.0000 0.2437 0.0000 1
In2 In 0.2437 0.0000 0.0000 1
Pt2 Pt 0.6667 0.3333 0.0000 1
In3 In 0.7563 0.7563 0.0000 1
Sm1 Sm 0.0000 0.5893 0.5000 1
Sm2 Sm 0.5893 0.0000 0.5000 1
Sm3 Sm 0.4107 0.4107 0.5000 1
```